First-principles (GGA+U) data for a relaxed CaLa2NiO5 crystal, as listed in Alexandria via LeMat-Bulk.

Electronic total energy (eV per atom): -6.958

Geometry as CIF:
```
data_CaLa2NiO5
_chemical_formula_sum 'Ca2 La4 Ni2 O10'
_cell_length_a 6.7533
_cell_length_b 6.7533
_cell_length_c 5.6887
_cell_angle_alpha 90.00
_cell_angle_beta 90.00
_cell_angle_gamma 90.00
_symmetry_space_group_name_H-M 'P 1'
_symmetry_Int_Tables_number 1
loop_
_symmetry_equiv_pos_as_xyz
'x,y,z'
loop_
_atom_site_label
_atom_site_type_symbol
_atom_site_fract_x
_atom_site_fract_y
_atom_site_fract_z
_atom_site_occupancy
Ca1 Ca 0.0000 0.0000 0.0000 1
Ca2 Ca 0.5000 0.5000 0.0000 1
La1 La 0.1742 0.3258 0.5000 1
La2 La 0.3258 0.8258 0.5000 1
La3 La 0.6742 0.1742 0.5000 1
La4 La 0.8258 0.6742 0.5000 1
Ni1 Ni 0.0000 0.5000 0.0000 1
Ni2 Ni 0.5000 0.0000 0.0000 1
O1 O 0.0000 0.0000 0.5000 1
O2 O 0.1406 0.6406 0.2296 1
O3 O 0.1406 0.6406 0.7704 1
O4 O 0.3594 0.1406 0.2296 1
O5 O 0.3594 0.1406 0.7704 1
O6 O 0.5000 0.5000 0.5000 1
O7 O 0.6406 0.8594 0.2296 1
O8 O 0.6406 0.8594 0.7704 1
O9 O 0.8594 0.3594 0.2296 1
O10 O 0.8594 0.3594 0.7704 1
```